(1)
## MnCoPb3 (meta-GGA SCAN)

Data for MnCoPb3 at its PBEsol-relaxed geometry.

Results
* DOS(E_F): 2.2 states/eV/f.u.
* energy of formation: 451 meV per atom
* symmetry: Pm-3m
* energy: -52.13 eV/atom

Cell: 4.9929 4.9929 4.9929 Å, 90.00 90.00 90.00°
With the nearest neighbours (Å) after each atom.
Fractional coordinates of all 5 atoms:
Mn: 0.0000 0.0000 0.0000  12 Pb 3.53
Co: 0.5000 0.5000 0.5000  6 Pb 2.50
Pb: 0.0000 0.5000 0.5000  2 Co 2.50
Pb: 0.5000 0.0000 0.5000  2 Co 2.50
Pb: 0.5000 0.5000 0.0000  2 Co 2.50



(2)
## MnSbSe2I (meta-GGA SCAN)

Data for MnSbSe2I at its PBEsol-relaxed geometry.

Results
* energy relative to the elements, uncorrected: -0.552 eV/atom
* symmetry: C2/m
* energy: -27.03 eV/atom

Cell: 6.8430 6.8430 9.8563 Å, 91.47 91.47 33.98°
With the nearest neighbours (Å) after each atom.
Fractional coordinates of all 10 atoms:
Mn: 0.0000 0.0000 0.0000  2 Se 2.68, 4 I 2.79
Mn: 0.0000 0.0000 0.5000  6 Se 2.59-2.74
Sb: 0.2883 0.2883 0.6884  3 Se 2.64-2.75
Sb: 0.7117 0.7117 0.3116  3 Se 2.64-2.75
Se: 0.0719 0.0719 0.2573  2 Mn 2.59-2.68, 2 Sb 2.75
Se: 0.3628 0.3628 0.4418  1 Sb 2.64, 2 Mn 2.74
Se: 0.6372 0.6372 0.5582  1 Sb 2.64, 2 Mn 2.74
Se: 0.9281 0.9281 0.7427  2 Mn 2.59-2.68, 2 Sb 2.75
I: 0.3631 0.3631 0.0738  2 Mn 2.79
I: 0.6369 0.6369 0.9262  2 Mn 2.79



(3)
## RbPAu2 (meta-GGA SCAN)

Data for RbPAu2 at its PBEsol-relaxed geometry.

Results
* energy of formation: -526 meV per atom
* symmetry: I4_1/amd
* energy: -42.89 eV/atom

Cell: 8.3518 8.3518 8.3518 Å, 139.42 139.42 58.73°
With the nearest neighbours (Å) after each atom.
Fractional coordinates of all 8 atoms:
Rb: 0.3750 0.6250 0.7500  8 Au 3.71, 4 P 4.10
Rb: 0.6250 0.3750 0.2500  8 Au 3.71, 4 P 4.10
P: 0.1250 0.8750 0.2500  4 Au 2.33
P: 0.8750 0.1250 0.7500  4 Au 2.33
Au: 0.0000 0.0000 0.0000  2 P 2.33
Au: 0.0000 0.0000 0.5000  2 P 2.33
Au: 0.0000 0.5000 0.0000  2 P 2.33
Au: 0.5000 0.0000 0.5000  2 P 2.33



(4)
## LiMg2As (meta-GGA SCAN)

Data for LiMg2As at its PBEsol-relaxed geometry.

Results
* DOS(E_F): 0.2 states/eV/f.u.
* energy of formation: -218 meV per atom
* symmetry: F-43m
* energy: -8.35 eV/atom

Cell: 4.7813 4.7813 4.7813 Å, 60.00 60.00 60.00°
With the nearest neighbours (Å) after each atom.
Fractional coordinates of all 4 atoms:
Li: 0.0000 0.0000 0.0000  4 As 2.93, 4 Mg 2.93
Mg: 0.2500 0.2500 0.2500  4 Li 2.93, 4 Mg 2.93
Mg: 0.5000 0.5000 0.5000  4 As 2.93, 4 Mg 2.93
As: 0.7500 0.7500 0.7500  4 Li 2.93, 4 Mg 2.93



(5)
## RbSrBe2Re (meta-GGA SCAN)

Data for RbSrBe2Re at its PBEsol-relaxed geometry.

Results
* DOS(E_F): 2.7 states/eV/f.u.
* energy of formation: 973 meV per atom
* symmetry: P4/mmm
* energy: -23.59 eV/atom

Cell: 4.6813 4.6813 5.2992 Å, 90.00 90.00 90.00°
With the nearest neighbours (Å) after each atom.
Fractional coordinates of all 5 atoms:
Rb: 0.0000 0.0000 0.0000  4 Sr 3.31, 8 Be 3.54
Sr: 0.5000 0.5000 0.0000  2 Re 2.65
Be: 0.0000 0.5000 0.5000  2 Re 2.34
Be: 0.5000 0.0000 0.5000  2 Re 2.34
Re: 0.5000 0.5000 0.5000  4 Be 2.34



(6)
## BSbTe2Rh (meta-GGA SCAN)

Data for BSbTe2Rh at its PBEsol-relaxed geometry.

Results
* DOS(E_F): 2.3 states/eV/f.u.
* energy relative to the elements, uncorrected: 0.976 eV/atom
* symmetry: P4/mmm
* energy: -29.62 eV/atom

Cell: 4.6780 4.6780 4.5681 Å, 90.00 90.00 90.00°
With the nearest neighbours (Å) after each atom.
Fractional coordinates of all 5 atoms:
B: 0.0000 0.0000 0.0000  2 Sb 2.28, 4 Te 2.34
Sb: 0.0000 0.0000 0.5000  2 B 2.28
Te: 0.0000 0.5000 0.0000  2 B 2.34
Te: 0.5000 0.0000 0.0000  2 B 2.34
Rh: 0.5000 0.5000 0.5000  8 Te 3.27, 4 Sb 3.31



Please write out number 4 again, unchanged.
## LiMg2As (meta-GGA SCAN)

Data for LiMg2As at its PBEsol-relaxed geometry.

Results
* DOS(E_F): 0.2 states/eV/f.u.
* energy of formation: -218 meV per atom
* symmetry: F-43m
* energy: -8.35 eV/atom

Cell: 4.7813 4.7813 4.7813 Å, 60.00 60.00 60.00°
With the nearest neighbours (Å) after each atom.
Fractional coordinates of all 4 atoms:
Li: 0.0000 0.0000 0.0000  4 As 2.93, 4 Mg 2.93
Mg: 0.2500 0.2500 0.2500  4 Li 2.93, 4 Mg 2.93
Mg: 0.5000 0.5000 0.5000  4 As 2.93, 4 Mg 2.93
As: 0.7500 0.7500 0.7500  4 Li 2.93, 4 Mg 2.93